Below is a geometry-optimized Gd3As2O structure, with properties calculated at the PBE-GGA level.

Computed properties:
Mass density in Mg/m³: 8.2
Space-group type: P-3m1, No. 164
Calculated volume in Å³/f.u.: 128.8
Electronic total energy in eV per cell: -39.25

Cell lengths 3.940, 3.940, 9.578 Å; angles 90.00, 90.00, 120.00 degrees
Positions (direct):
Gd: 0.000 0.000 0.000
Gd: 0.333 0.667 0.361
Gd: 0.667 0.333 0.639
As: 0.333 0.667 0.816
As: 0.667 0.333 0.184
O: 0.000 0.000 0.500